Co2Rh3 SCAN PBEsol geometry; relative energy among the computed polymorphs = 0.21 kcal/mol of atoms; formation energy = 0.06 eV per atom; density = 11.48 Mg/m³
1.0
-1.308 1.821 6.474
1.308 -1.821 6.474
1.308 1.821 -6.474
Co Rh
2 3
Direct
0.204 0.204 0.000
0.796 0.796 0.000
0.000 0.000 0.000
0.393 0.393 0.000
0.607 0.607 0.000

CoRh3 SCAN PBEsol geometry; formation energy = 0.04 eV per atom; density = 11.91 Mg/m³
1.0
2.652 0.000 0.000
-1.326 2.297 0.000
0.000 0.000 8.414
Co Rh
1 3
Direct
0.000 0.000 0.000
0.000 0.000 0.500
0.667 0.333 0.239
0.667 0.333 0.761

Co3Rh SCAN PBEsol geometry; formation energy = 0.04 eV per atom; density = 10.24 Mg/m³
1.0
4.168 -1.277 0.000
4.168 1.277 0.000
-0.826 0.000 4.260
Co Rh
3 1
Direct
0.000 0.000 0.000
0.254 0.254 0.763
0.746 0.746 0.237
0.500 0.500 0.500

Co2Rh SCAN PBEsol geometry; formation energy = 0.01 eV per atom; density = 10.32 Mg/m³
1.0
4.057 0.000 0.000
-2.029 3.514 0.000
0.000 0.000 4.984
Co Rh
4 2
Direct
0.000 0.000 0.000
0.000 0.000 0.500
0.333 0.667 0.360
0.667 0.333 0.640
0.333 0.667 0.847
0.667 0.333 0.153

Co3Rh SCAN PBEsol geometry; formation energy = 0.03 eV per atom; density = 10.27 Mg/m³
1.0
2.549 0.000 0.000
0.000 3.494 0.000
0.000 0.000 5.079
Co Rh
3 1
Direct
0.000 0.000 0.000
0.500 0.500 0.233
0.500 0.500 0.767
0.000 0.000 0.500

Co2Rh SCAN PBEsol geometry; formation energy = 0.07 eV per atom; density = 10.64 Mg/m³
1.0
2.582 0.000 0.000
0.000 2.582 0.000
0.000 0.000 10.342
Co Rh
4 2
Direct
0.250 0.250 0.078
0.250 0.250 0.769
0.750 0.750 0.231
0.750 0.750 0.922
0.250 0.250 0.407
0.750 0.750 0.593

CoRh3 SCAN PBEsol geometry; formation energy = 0.04 eV per atom; density = 11.87 Mg/m³
1.0
2.654 0.000 0.000
0.000 4.235 0.000
0.000 0.000 4.575
Co Rh
1 3
Direct
0.000 0.000 0.000
0.000 0.500 0.331
0.500 0.000 0.500
0.500 0.500 0.837

Co2Rh SCAN PBEsol geometry; formation energy = 0.04 eV per atom; density = 10.65 Mg/m³
1.0
2.566 0.000 0.000
0.000 3.505 0.000
0.000 0.000 7.653
Co Rh
4 2
Direct
0.000 0.000 0.000
0.000 0.000 0.345
0.000 0.000 0.655
0.500 0.500 0.500
0.500 0.500 0.172
0.500 0.500 0.828